[1]
Here is an optimized crystal structure of KNa2WF6 from the Alexandria database. Energies are from PBE+U.

**Calculated volume**: 16.2 Å³ per atom
**Uncorrected energy**: -0.182 Ha/atom

a b c (Å): 6.055 6.195 10.463
angles (deg): 90.00 124.50 90.00
Space group P2_1/c (No. 14)
One atom of each set of equivalent atoms:
K  0.000  0.000  0.000 [2 per cell]
Na  0.226  0.025  0.717 [4 per cell]
W  0.500  0.000  0.500 [2 per cell]
F  0.160  0.140  0.474 [4 per cell]
F  0.242  0.731  0.382 [4 per cell]
F  0.424  0.136  0.291 [4 per cell]


[2]
Here is an optimized crystal structure of KNa2WF8 from the Alexandria database. Energies are from PBE+U.

**Calculated volume**: 17.8 Å³ per atom
**Uncorrected energy**: -0.179 Ha/atom

a b c (Å): 4.781 5.627 7.977
angles (deg): 88.61 89.23 83.78
Space group P-1 (No. 2)
One atom of each set of equivalent atoms:
K  0.000  0.000  0.000 [1 per cell]
Na  0.486  0.490  0.199 [2 per cell]
W  0.000  0.000  0.500 [1 per cell]
F  0.184  0.794  0.328 [2 per cell]
F  0.184  0.805  0.682 [2 per cell]
F  0.283  0.216  0.489 [2 per cell]
F  0.359  0.284  0.994 [2 per cell]


[3]
Here is an optimized crystal structure of KNa2WF from the Alexandria database. Energies are from PBE+U.

**Calculated volume**: 27.2 Å³ per atom
**Uncorrected energy**: -0.099 Ha/atom

a b c (Å): 5.401 5.401 4.653
angles (deg): 90.00 90.00 90.00
Space group P4/mmm (No. 123)
One atom of each set of equivalent atoms:
K  0.000  0.000  0.000 [1 per cell]
Na  0.000  0.500  0.500 [2 per cell]
W  0.500  0.500  0.000 [1 per cell]
F  0.500  0.500  0.500 [1 per cell]


[4]
Here is an optimized crystal structure of K2NaWF6 from the Alexandria database. Energies are from PBE+U.

**Calculated volume**: 16.6 Å³ per atom
**Uncorrected energy**: -0.182 Ha/atom

a b c (Å): 6.158 6.180 8.716
angles (deg): 90.00 90.00 90.00
Space group Immm (No. 71)
One atom of each set of equivalent atoms:
K  0.000  0.000  0.249 [4 per cell]
Na  0.000  0.500  0.500 [2 per cell]
W  0.000  0.500  0.000 [2 per cell]
F  0.000  0.500  0.242 [4 per cell]
F  0.241  0.258  0.000 [8 per cell]


[5]
Here is an optimized crystal structure of KNaW2F from the Alexandria database. Energies are from PBE+U.

**Calculated volume**: 34.2 Å³ per atom
**Uncorrected energy**: -0.106 Ha/atom

a b c (Å): 6.531 6.531 4.009
angles (deg): 90.00 90.00 90.00
Space group P4/mmm (No. 123)
One atom of each set of equivalent atoms:
K  0.000  0.000  0.000 [1 per cell]
Na  0.500  0.500  0.500 [1 per cell]
W  0.000  0.500  0.500 [2 per cell]
F  0.500  0.500  0.000 [1 per cell]